(1)
The following is a DFT calculation (PBE with a Hubbard U) of a relaxed structure of VCuO2F.

For the raw total energy, the calculation gives -5.970 eV per atom. The crystal system is tetragonal.

Cell: 3.780 3.780 3.986 Å, 90.00 90.00 90.00°
Atoms (fractional coordinates):
1 Cu 0.500 0.500 0.500
2 F 0.000 0.000 0.500
3 V 0.000 0.000 0.000
4 O 0.500 0.000 0.000
5 O 0.000 0.500 0.000


(2)
The following is a DFT calculation (PBE with a Hubbard U) of a relaxed structure of V4Cu13O26F4.

For the raw total energy, the calculation gives -5.612 eV per atom. The crystal system is triclinic.

Cell: 5.637 10.493 11.091 Å, 106.61 103.24 97.04°
Atoms (fractional coordinates):
1 Cu 0.000 0.500 0.000
2 O 0.779 0.434 0.836
3 Cu 0.293 0.510 0.580
4 O 0.672 0.635 0.094
5 O 0.584 0.878 0.265
6 O 0.944 0.144 0.740
7 F 0.412 0.621 0.493
8 Cu 0.707 0.490 0.420
9 O 0.744 0.896 0.036
10 Cu 0.547 0.536 0.186
11 O 0.146 0.444 0.693
12 O 0.433 0.423 0.269
13 O 0.056 0.856 0.260
14 Cu 0.754 0.003 0.500
15 F 0.136 0.635 0.950
16 O 0.010 0.109 0.463
17 O 0.269 0.932 0.072
18 Cu 0.453 0.464 0.814
19 F 0.588 0.379 0.507
20 V 0.999 0.202 0.347
21 O 0.817 0.859 0.752
22 O 0.183 0.141 0.248
23 V 0.236 0.186 0.836
24 O 0.515 0.922 0.560
25 O 0.221 0.566 0.164
26 Cu 0.246 0.997 0.500
27 F 0.864 0.365 0.050
28 O 0.990 0.891 0.537
29 V 0.001 0.798 0.653
30 O 0.287 0.841 0.752
31 Cu 0.133 0.482 0.285
32 O 0.328 0.365 0.906
33 Cu 0.000 0.000 0.000
34 Cu 0.500 0.000 0.000
35 O 0.485 0.078 0.440
36 O 0.854 0.556 0.307
37 O 0.072 0.391 0.409
38 O 0.567 0.577 0.731
39 V 0.764 0.814 0.164
40 O 0.731 0.068 0.928
41 O 0.928 0.609 0.591
42 Cu 0.622 0.992 0.744
43 O 0.416 0.122 0.735
44 Cu 0.378 0.008 0.256
45 O 0.713 0.159 0.248
46 O 0.256 0.104 0.964
47 Cu 0.867 0.518 0.715


(3)
The following is a DFT calculation (PBE with a Hubbard U) of a relaxed structure of VCuO2F.

For the raw total energy, the calculation gives -4.337 eV per atom. The crystal system is tetragonal.

Cell: 4.318 3.428 4.318 Å, 90.00 90.00 90.00°
Atoms (fractional coordinates):
1 O 0.500 0.000 0.000
2 Cu 0.000 0.500 0.000
3 O 0.000 0.000 0.500
4 V 0.500 0.500 0.500
5 F 0.000 0.000 0.000


(4)
The following is a DFT calculation (PBE with a Hubbard U) of a relaxed structure of VCuO2F.

For the raw total energy, the calculation gives -5.403 eV per atom. The crystal system is tetragonal.

Cell: 3.831 3.831 3.728 Å, 90.00 90.00 90.00°
Atoms (fractional coordinates):
1 V 0.500 0.500 0.500
2 O 0.500 0.000 0.000
3 Cu 0.000 0.000 0.000
4 F 0.000 0.000 0.500
5 O 0.000 0.500 0.000


(5)
The following is a DFT calculation (PBE with a Hubbard U) of a relaxed structure of CuW2OF.

For the raw total energy, the calculation gives -4.177 eV per atom. The crystal system is tetragonal.

Cell: 5.278 3.566 5.278 Å, 90.00 90.00 90.00°
Atoms (fractional coordinates):
1 F 0.500 0.500 0.500
2 Cu 0.000 0.000 0.000
3 O 0.000 0.500 0.000
4 W 0.000 0.000 0.500
5 W 0.500 0.000 0.000


(6)
The following is a DFT calculation (PBE with a Hubbard U) of a relaxed structure of CuWOF2.

Its energy above the most stable polymorph in this dataset is 0 meV per atom. For the raw total energy, the calculation gives -5.228 eV per atom. The crystal system is tetragonal.

Cell: 4.234 4.234 4.081 Å, 90.00 90.00 90.00°
Atoms (fractional coordinates):
1 O 0.000 0.000 0.500
2 Cu 0.500 0.500 0.500
3 F 0.000 0.500 0.000
4 F 0.500 0.000 0.000
5 W 0.000 0.000 0.000


(7)
The following is a DFT calculation (PBE with a Hubbard U) of a relaxed structure of CuWOF2.

Its energy above the most stable polymorph in this dataset is 537 meV per atom. For the raw total energy, the calculation gives -4.691 eV per atom. The crystal system is tetragonal.

Cell: 3.748 3.748 4.546 Å, 90.00 90.00 90.00°
Atoms (fractional coordinates):
1 F 0.500 0.000 0.000
2 W 0.500 0.500 0.500
3 O 0.000 0.000 0.500
4 F 0.000 0.500 0.000
5 Cu 0.000 0.000 0.000